1.
Entry from Alexandria via LeMat-Bulk: an optimized crystal structure of SbTeIr2 (PBE-GGA).

Geometry as CIF:
```
data_SbTeIr2
_cell_length_a 6.709
_cell_length_b 3.927
_cell_length_c 6.609
_cell_angle_alpha 90.00
_cell_angle_beta 110.27
_cell_angle_gamma 90.00
_symmetry_space_group_name_H-M 'C 1 2/m 1'
_symmetry_Int_Tables_number 12
_symmetry_space_group_name_Hall '-C 2y'
loop_
_atom_site_label
_atom_site_type_symbol
_atom_site_fract_x
_atom_site_fract_y
_atom_site_fract_z
_atom_site_occupancy
Sb1 Sb 0.000 0.000 0.000 1
Te1 Te 0.000 0.500 0.500 1
Ir1 Ir 0.248 0.500 0.242 1
```

Energy relative to the lowest polymorph listed for this composition = 0.171 eV per atom
Formation energy from raw total energies = 0.24 eV/atom
Uncorrected energy = -48.0 eV per cell
D(E_F) = 0.476 states/eV per atom



2.
Entry from Alexandria via LeMat-Bulk: an optimized crystal structure of Li2ScNi (PBE-GGA).

Geometry as CIF:
```
data_Li2ScNi
_cell_length_a 2.8432
_cell_length_b 2.8432
_cell_length_c 28.2215
_cell_angle_alpha 90.00
_cell_angle_beta 90.00
_cell_angle_gamma 120.00
_symmetry_space_group_name_H-M 'R -3 m'
_symmetry_Int_Tables_number 166
_symmetry_space_group_name_Hall '-R 3 2"'
loop_
_atom_site_label
_atom_site_type_symbol
_atom_site_fract_x
_atom_site_fract_y
_atom_site_fract_z
_atom_site_occupancy
Li1 Li 0.0000 0.0000 0.2365 1
Sc1 Sc 0.0000 0.0000 0.0000 1
Ni1 Ni 0.0000 0.0000 0.5000 1
```

Energy relative to the lowest polymorph listed for this composition = 0.326 eV per atom
Uncorrected energy = -45.1 eV per cell
E_form = 0.23 eV/atom
D(E_F) = 0.639 states/eV per atom



3.
Entry from Alexandria via LeMat-Bulk: an optimized crystal structure of Sr2GaAg (PBE-GGA).

Geometry as CIF:
```
data_Sr2GaAg
_cell_length_a 3.944
_cell_length_b 3.944
_cell_length_c 7.705
_cell_angle_alpha 90.00
_cell_angle_beta 90.00
_cell_angle_gamma 90.00
_symmetry_space_group_name_H-M 'P 4/m m m'
_symmetry_Int_Tables_number 123
_symmetry_space_group_name_Hall '-P 4 2'
loop_
_atom_site_label
_atom_site_type_symbol
_atom_site_fract_x
_atom_site_fract_y
_atom_site_fract_z
_atom_site_occupancy
Sr1 Sr 0.000 0.000 0.244 1
Ga1 Ga 0.500 0.500 0.000 1
Ag1 Ag 0.500 0.500 0.500 1
```

Uncorrected energy = -10.5 eV per cell
E_form = -0.30 eV/atom
D(E_F) = 0.784 states/eV per atom



4.
Entry from Alexandria via LeMat-Bulk: an optimized crystal structure of AcHfAs2Rh5 (PBE-GGA).

Geometry as CIF:
```
data_AcHfAs2Rh5
_cell_length_a 4.152
_cell_length_b 4.152
_cell_length_c 10.766
_cell_angle_alpha 90.00
_cell_angle_beta 90.00
_cell_angle_gamma 90.00
_symmetry_space_group_name_H-M 'P 4/m m m'
_symmetry_Int_Tables_number 123
_symmetry_space_group_name_Hall '-P 4 2'
loop_
_atom_site_label
_atom_site_type_symbol
_atom_site_fract_x
_atom_site_fract_y
_atom_site_fract_z
_atom_site_occupancy
Ac1 Ac 0.000 0.000 0.000 1
Hf1 Hf 0.500 0.500 0.500 1
As1 As 0.500 0.500 0.222 1
Rh1 Rh 0.000 0.500 0.340 1
Rh2 Rh 0.500 0.500 0.000 1
```

Uncorrected energy = -64.2 eV per cell
E_form = -0.45 eV/atom
D(E_F) = 0.477 states/eV per atom



5.
Entry from Alexandria via LeMat-Bulk: an optimized crystal structure of ScInGaHg (PBE-GGA).

Geometry as CIF:
```
data_ScInGaHg
_cell_length_a 4.311
_cell_length_b 4.326
_cell_length_c 4.465
_cell_angle_alpha 90.00
_cell_angle_beta 90.00
_cell_angle_gamma 90.00
_symmetry_space_group_name_H-M 'P m m m'
_symmetry_Int_Tables_number 47
_symmetry_space_group_name_Hall '-P 2 2'
loop_
_atom_site_label
_atom_site_type_symbol
_atom_site_fract_x
_atom_site_fract_y
_atom_site_fract_z
_atom_site_occupancy
Sc1 Sc 0.000 0.000 0.000 1
In1 In 0.000 0.500 0.500 1
Ga1 Ga 0.500 0.500 0.000 1
Hg1 Hg 0.500 0.000 0.500 1
```

Energy relative to the lowest polymorph listed for this composition = 0.000 eV per atom
Uncorrected energy = -13.7 eV per cell
E_form = -0.32 eV/atom
D(E_F) = 0.401 states/eV per atom



6.
Entry from Alexandria via LeMat-Bulk: an optimized crystal structure of Al2Sb (PBE-GGA).

Geometry as CIF:
```
data_Al2Sb
_cell_length_a 3.500
_cell_length_b 17.331
_cell_length_c 4.525
_cell_angle_alpha 90.00
_cell_angle_beta 90.00
_cell_angle_gamma 90.00
_symmetry_space_group_name_H-M 'C m c m'
_symmetry_Int_Tables_number 63
_symmetry_space_group_name_Hall '-C 2c 2'
loop_
_atom_site_label
_atom_site_type_symbol
_atom_site_fract_x
_atom_site_fract_y
_atom_site_fract_z
_atom_site_occupancy
Al1 Al 0.000 0.044 0.250 1
Al2 Al 0.000 0.421 0.250 1
Sb1 Sb 0.000 0.324 0.750 1
```

Formation energy from raw total energies = 0.13 eV/atom
Uncorrected energy = -44.9 eV per cell
D(E_F) = 0.422 states/eV per atom



7.
Entry from Alexandria via LeMat-Bulk: an optimized crystal structure of Tb3Zr5H12 (PBE-GGA).

Geometry as CIF:
```
data_Tb3Zr5H12
_cell_length_a 12.406
_cell_length_b 12.406
_cell_length_c 12.406
_cell_angle_alpha 90.00
_cell_angle_beta 90.00
_cell_angle_gamma 90.00
_symmetry_space_group_name_H-M 'I a -3 d'
_symmetry_Int_Tables_number 230
_symmetry_space_group_name_Hall '-I 4bd 2c 3'
loop_
_atom_site_label
_atom_site_type_symbol
_atom_site_fract_x
_atom_site_fract_y
_atom_site_fract_z
_atom_site_occupancy
Tb1 Tb 0.000 0.250 0.125 1
Zr1 Zr 0.000 0.000 0.000 1
Zr2 Zr 0.000 0.250 0.375 1
H1 H 0.010 0.066 0.652 1
```

Uncorrected energy = -849.2 eV per cell
D(E_F) = 0.441 states/eV per atom



8.
Entry from Alexandria via LeMat-Bulk: an optimized crystal structure of Dy5Ho2Tm3 (PBE-GGA).

Geometry as CIF:
```
data_Dy5Ho2Tm3
_cell_length_a 10.600
_cell_length_b 15.595
_cell_length_c 9.382
_cell_angle_alpha 90.00
_cell_angle_beta 124.39
_cell_angle_gamma 90.00
_symmetry_space_group_name_H-M 'C 1 2/c 1'
_symmetry_Int_Tables_number 15
_symmetry_space_group_name_Hall '-C 2yc'
loop_
_atom_site_label
_atom_site_type_symbol
_atom_site_fract_x
_atom_site_fract_y
_atom_site_fract_z
_atom_site_occupancy
Dy1 Dy 0.000 0.018 0.250 1
Dy2 Dy 0.000 0.218 0.250 1
Dy3 Dy 0.000 0.482 0.750 1
Dy4 Dy 0.249 0.143 0.747 1
Ho1 Ho 0.150 0.131 0.047 1
Tm1 Tm 0.000 0.282 0.750 1
Tm2 Tm 0.147 0.368 0.547 1
```

Energy relative to the lowest polymorph listed for this composition = 0.000 eV per atom
Uncorrected energy = -174.2 eV per cell
E_form = 0.20 eV/atom
D(E_F) = 1.642 states/eV per atom



9.
Entry from Alexandria via LeMat-Bulk: an optimized crystal structure of NdDy2Co6 (PBE-GGA).

Geometry as CIF:
```
data_NdDy2Co6
_cell_length_a 6.6920
_cell_length_b 6.6920
_cell_length_c 4.0979
_cell_angle_alpha 90.00
_cell_angle_beta 90.00
_cell_angle_gamma 120.00
_symmetry_space_group_name_H-M 'P 6/m m m'
_symmetry_Int_Tables_number 191
_symmetry_space_group_name_Hall '-P 6 2'
loop_
_atom_site_label
_atom_site_type_symbol
_atom_site_fract_x
_atom_site_fract_y
_atom_site_fract_z
_atom_site_occupancy
Nd1 Nd 0.0000 0.0000 0.0000 1
Dy1 Dy 0.3333 0.6667 0.0000 1
Co1 Co 0.0000 0.3352 0.5000 1
```

Uncorrected energy = -57.9 eV per cell
E_form = -0.14 eV/atom
D(E_F) = 0.773 states/eV per atom



10.
Entry from Alexandria via LeMat-Bulk: an optimized crystal structure of VFe2Tc (PBE-GGA).

Geometry as CIF:
```
data_VFe2Tc
_cell_length_a 2.753
_cell_length_b 2.753
_cell_length_c 6.391
_cell_angle_alpha 90.00
_cell_angle_beta 90.00
_cell_angle_gamma 90.00
_symmetry_space_group_name_H-M 'P 4/m m m'
_symmetry_Int_Tables_number 123
_symmetry_space_group_name_Hall '-P 4 2'
loop_
_atom_site_label
_atom_site_type_symbol
_atom_site_fract_x
_atom_site_fract_y
_atom_site_fract_z
_atom_site_occupancy
V1 V 0.000 0.000 0.000 1
Fe1 Fe 0.500 0.500 0.221 1
Tc1 Tc 0.000 0.000 0.500 1
```

Energy relative to the lowest polymorph listed for this composition = 0.047 eV per atom
Uncorrected energy = -36.2 eV per cell
E_form = 0.04 eV/atom
D(E_F) = 1.132 states/eV per atom



11.
Entry from Alexandria via LeMat-Bulk: an optimized crystal structure of PmErAlTl (PBE-GGA).

Geometry as CIF:
```
data_PmErAlTl
_cell_length_a 3.679
_cell_length_b 3.679
_cell_length_c 7.710
_cell_angle_alpha 90.00
_cell_angle_beta 90.00
_cell_angle_gamma 90.00
_symmetry_space_group_name_H-M 'P 4 m m'
_symmetry_Int_Tables_number 99
_symmetry_space_group_name_Hall 'P 4 -2'
loop_
_atom_site_label
_atom_site_type_symbol
_atom_site_fract_x
_atom_site_fract_y
_atom_site_fract_z
_atom_site_occupancy
Pm1 Pm 0.000 0.000 0.000 1
Er1 Er 0.000 0.000 0.471 1
Al1 Al 0.500 0.500 0.246 1
Tl1 Tl 0.500 0.500 0.722 1
```

Energy relative to the lowest polymorph listed for this composition = 0.000 eV per atom
Uncorrected energy = -16.9 eV per cell
E_form = -0.36 eV/atom
D(E_F) = 0.520 states/eV per atom



12.
Entry from Alexandria via LeMat-Bulk: an optimized crystal structure of MnCr2TeRu (PBE-GGA).

Geometry as CIF:
```
data_MnCr2TeRu
_cell_length_a 4.605
_cell_length_b 4.605
_cell_length_c 4.522
_cell_angle_alpha 90.00
_cell_angle_beta 90.00
_cell_angle_gamma 90.00
_symmetry_space_group_name_H-M 'P 4/m m m'
_symmetry_Int_Tables_number 123
_symmetry_space_group_name_Hall '-P 4 2'
loop_
_atom_site_label
_atom_site_type_symbol
_atom_site_fract_x
_atom_site_fract_y
_atom_site_fract_z
_atom_site_occupancy
Mn1 Mn 0.000 0.000 0.000 1
Cr1 Cr 0.000 0.500 0.500 1
Te1 Te 0.000 0.000 0.500 1
Ru1 Ru 0.500 0.500 0.000 1
```

Energy relative to the lowest polymorph listed for this composition = 0.623 eV per atom
Formation energy from raw total energies = 2.10 eV/atom
Uncorrected energy = -30.3 eV per cell
D(E_F) = 2.168 states/eV per atom



Q: What is the formula in the second record?
A: Li2ScNi



Q: Which formula does entry 10 have?
A: VFe2Tc



Q: Among the records above, which one has the highest D(E_F)?
A: MnCr2TeRu